Material: BaTeP2S
Method: DFT, GGA-PBEsol
State: relaxed

abc: 5.0713 5.0713 5.2053
angles: 90.00 90.00 90.00
Closest atoms and distances in Å follow each position.
Space group P4/mmm (No. 123)
Asymmetric unit:
Ba 0.0000 0.0000 0.0000 (multiplicity 1)  4 S 3.59, 8 P 3.63
Te 0.5000 0.5000 0.5000 (multiplicity 1)  4 P 2.54, 2 S 2.60
P 0.0000 0.5000 0.5000 (multiplicity 2)  2 Te 2.54
S 0.5000 0.5000 0.0000 (multiplicity 1)  2 Te 2.60

* theoretical density: 4.45 g cm⁻³
* uncorrected formation energy: -7.1 kJ per mole of atoms
* E above lowest polymorph: 0 meV per atom
* spin magnetization: 0.0 μB per formula unit

Material: BaTlPS2
Method: DFT, GGA-PBEsol
State: relaxed

abc: 5.2095 5.2095 4.9914
angles: 90.00 90.00 90.00
Closest atoms and distances in Å follow each position.
Space group P4/mmm (No. 123)
Asymmetric unit:
Ba 0.0000 0.0000 0.0000 (multiplicity 1)  8 S 3.61, 4 P 3.68
Tl 0.5000 0.5000 0.5000 (multiplicity 1)  2 P 2.50, 4 S 2.60
P 0.5000 0.5000 0.0000 (multiplicity 1)  2 Tl 2.50
S 0.0000 0.5000 0.5000 (multiplicity 2)  2 Tl 2.60

* theoretical density: 5.35 g cm⁻³
* uncorrected formation energy: -22.6 kJ per mole of atoms
* spin magnetization: 0.8 μB per formula unit

Material: BaSb2P
Method: DFT, GGA-PBEsol
State: relaxed

abc: 3.5365 3.5365 8.8379
angles: 90.00 90.00 90.00
Closest atoms and distances in Å follow each position.
Space group P4mm (No. 99)
Asymmetric unit:
Ba 0.0000 0.0000 0.0000 (multiplicity 1)  4 P 3.41, 5 Sb 3.51-3.56, 4 Ba 3.54
Sb 0.0000 0.0000 0.3970 (multiplicity 1)  4 P 2.77
Sb 0.5000 0.5000 0.7126 (multiplicity 1)  8 Sb 3.54-3.75, 4 Ba 3.56
P 0.5000 0.5000 0.2617 (multiplicity 1)  4 Sb 2.77

* theoretical density: 6.19 g cm⁻³
* uncorrected formation energy: -20.7 kJ per mole of atoms
* spin magnetization: 0.0 μB per formula unit

Material: BaSb2P
Method: DFT, GGA-PBEsol
State: relaxed

abc: 3.8406 5.8123 10.0007
angles: 90.00 90.00 90.00
Closest atoms and distances in Å follow each position.
Space group Imm2 (No. 44)
Asymmetric unit:
Ba 0.0000 0.0000 0.0000 (multiplicity 2)  2 P 3.30, 8 Sb 3.52-3.56
Sb 0.0000 0.0000 0.4493 (multiplicity 2)  2 P 2.64
Sb 0.0000 0.5000 0.2051 (multiplicity 2)  2 Sb 3.20, 4 Ba 3.52-3.56, 4 P 3.54
P 0.0000 0.5000 0.7685 (multiplicity 2)  2 Sb 2.64

* theoretical density: 6.13 g cm⁻³
* uncorrected formation energy: -26.0 kJ per mole of atoms
* spin magnetization: 0.0 μB per formula unit

Material: BaSbP
Method: DFT, GGA-PBEsol
State: relaxed

abc: 7.4449 7.4449 7.4449
angles: 90.00 90.00 90.00
Closest atoms and distances in Å follow each position.
Space group F-43m (No. 216)
Asymmetric unit:
Ba 0.0000 0.0000 0.0000 (multiplicity 4)  4 P 3.22, 4 Sb 3.22
Sb 0.2500 0.2500 0.7500 (multiplicity 4)  4 Ba 3.22
P 0.2500 0.2500 0.2500 (multiplicity 4)  4 Ba 3.22

* theoretical density: 4.67 g cm⁻³
* uncorrected formation energy: 19.6 kJ per mole of atoms
* spin magnetization: 0.0 μB per formula unit

Material: BaSb2P2
Method: DFT, GGA-PBEsol
State: relaxed

abc: 5.1771 5.1771 10.3872
angles: 90.00 90.00 90.00
Closest atoms and distances in Å follow each position.
Space group I4/mmm (No. 139)
Asymmetric unit:
Ba 0.0000 0.0000 0.0000 (multiplicity 2)  2 Sb 3.43, 8 P 3.67
Sb 0.0000 0.0000 0.3301 (multiplicity 4)  4 P 2.72
P 0.0000 0.5000 0.2500 (multiplicity 4)  4 Sb 2.72

* theoretical density: 5.28 g cm⁻³
* uncorrected formation energy: -27.9 kJ per mole of atoms
* spin magnetization: 0.0 μB per formula unit

Material: Ba2ScP
Method: DFT, GGA-PBEsol
State: relaxed

abc: 3.6623 3.8691 19.0468
angles: 90.00 90.00 90.00
Closest atoms and distances in Å follow each position.
Space group Immm (No. 71)
Asymmetric unit:
Ba 0.0000 0.0000 0.1543 (multiplicity 4)  2 P 3.46, 2 Sc 3.52, 4 Ba 3.66-3.87
Sc 0.0000 0.5000 0.0000 (multiplicity 2)  4 P 2.66
P 0.0000 0.5000 0.5000 (multiplicity 2)  4 Sc 2.66

* formation enthalpy at 0 K: -0.495 eV/atom
* theoretical density: 4.31 g cm⁻³
* spin magnetization: 0.7 μB per formula unit

Material: Ba2ScP
Method: DFT, GGA-PBEsol
State: relaxed

abc: 4.7052 4.7052 10.3686
angles: 90.00 90.00 90.00
Closest atoms and distances in Å follow each position.
Space group I4/mmm (No. 139)
Asymmetric unit:
Ba 0.0000 0.5000 0.2500 (multiplicity 4)  4 Ba 3.33, 4 Sc 3.50, 4 P 3.50
Sc 0.0000 0.0000 0.0000 (multiplicity 2)  4 P 3.33, 8 Ba 3.50
P 0.0000 0.0000 0.5000 (multiplicity 2)  4 Sc 3.33, 8 Ba 3.50

* formation enthalpy at 0 K: -0.009 eV/atom
* theoretical density: 5.07 g cm⁻³
* spin magnetization: 0.0 μB per formula unit

Material: Ba2ScP
Method: DFT, GGA-PBEsol
State: relaxed

abc: 7.5953 7.5953 7.5953
angles: 90.00 90.00 90.00
Closest atoms and distances in Å follow each position.
Space group F-43m (No. 216)
Asymmetric unit:
Ba 0.0000 0.0000 0.0000 (multiplicity 4)  4 Ba 3.29, 4 P 3.29
Ba 0.2500 0.2500 0.2500 (multiplicity 4)  4 Sc 3.29, 4 Ba 3.29
Sc 0.0000 0.0000 0.5000 (multiplicity 4)  4 P 3.29, 4 Ba 3.29
P 0.2500 0.2500 0.7500 (multiplicity 4)  4 Ba 3.29, 4 Sc 3.29

* formation enthalpy at 0 K: 0.115 eV/atom
* theoretical density: 5.31 g cm⁻³
* spin magnetization: 0.0 μB per formula unit

Material: Ba2ScP
Method: DFT, GGA-PBEsol
State: relaxed

abc: 3.8549 5.7100 11.9955
angles: 90.00 90.00 90.00
Closest atoms and distances in Å follow each position.
Space group Imm2 (No. 44)
Asymmetric unit:
Ba 0.0000 0.0000 0.0000 (multiplicity 2)  2 P 3.28, 2 Ba 3.54
Ba 0.0000 0.5000 0.1747 (multiplicity 2)  4 P 3.49, 4 Ba 3.54-3.85, 2 Sc 3.63
Sc 0.0000 0.0000 0.3611 (multiplicity 2)  2 P 2.56
P 0.0000 0.5000 0.7210 (multiplicity 2)  2 Sc 2.56

* formation enthalpy at 0 K: -0.459 eV/atom
* theoretical density: 4.41 g cm⁻³
* spin magnetization: 0.0 μB per formula unit

Material: BaSc4P
Method: DFT, GGA-PBEsol
State: relaxed

abc: 8.5455 8.5455 8.5455
angles: 90.00 90.00 90.00
Closest atoms and distances in Å follow each position.
Space group F-43m (No. 216)
Asymmetric unit:
Ba 0.0000 0.0000 0.0000 (multiplicity 4)  12 Sc 3.54, 4 P 3.70
Sc 0.1246 0.1246 0.6246 (multiplicity 16)  6 Sc 3.01-3.03
P 0.2500 0.2500 0.2500 (multiplicity 4)  12 Sc 3.54, 4 Ba 3.70

* formation enthalpy at 0 K: 0.424 eV/atom
* theoretical density: 3.71 g cm⁻³
* spin magnetization: 0.9 μB per formula unit

Material: Ba3P2Se8
Method: DFT, GGA-PBEsol
State: relaxed

abc: 17.9072 6.8323 12.1476
angles: 90.00 90.14 90.00
Closest atoms and distances in Å follow each position.
Space group P2_1/c (No. 14)
Asymmetric unit:
Ba 0.0768 0.0159 0.3275 (multiplicity 4)  9 Se 3.31-3.70
Ba 0.2456 0.5682 0.4723 (multiplicity 4)  9 Se 3.32-3.61
Ba 0.4224 0.5115 0.1505 (multiplicity 4)  8 Se 3.27-3.64
P 0.1385 0.5266 0.1675 (multiplicity 4)  4 Se 2.21-2.22
P 0.3601 0.0460 0.3359 (multiplicity 4)  4 Se 2.22-2.23
Se 0.0783 0.7430 0.0643 (multiplicity 4)  1 P 2.22
Se 0.0796 0.5101 0.3277 (multiplicity 4)  1 P 2.22
Se 0.1214 0.2382 0.0885 (multiplicity 4)  1 P 2.21
Se 0.2494 0.6560 0.2017 (multiplicity 4)  1 P 2.21
Se 0.2498 0.0869 0.4160 (multiplicity 4)  1 P 2.22
Se 0.3766 0.0479 0.1548 (multiplicity 4)  1 P 2.22
Se 0.4096 0.7342 0.8957 (multiplicity 4)  1 P 2.23
Se 0.4300 0.2125 0.9023 (multiplicity 4)  1 P 2.22

* theoretical density: 4.94 g cm⁻³
* uncorrected formation energy: -104.5 kJ per mole of atoms
* spin magnetization: 0.0 μB per formula unit

Material: BaP2Se
Method: DFT, GGA-PBEsol
State: relaxed

abc: 4.2607 4.2607 10.1917
angles: 90.00 90.00 90.00
Closest atoms and distances in Å follow each position.
Space group I4/mmm (No. 139)
Asymmetric unit:
Ba 0.0000 0.0000 0.0000 (multiplicity 2)  4 Se 3.01, 8 P 3.32
P 0.0000 0.5000 0.2500 (multiplicity 4)  4 P 3.01, 4 Ba 3.32, 4 Se 3.32
Se 0.0000 0.0000 0.5000 (multiplicity 2)  4 Ba 3.01, 8 P 3.32

* theoretical density: 4.99 g cm⁻³
* uncorrected formation energy: -7.5 kJ per mole of atoms
* E above lowest polymorph: 130 meV per atom
* spin magnetization: 0.0 μB per formula unit

Material: BaP2Se
Method: DFT, GGA-PBEsol
State: relaxed

abc: 3.6534 4.0960 6.1042
angles: 90.00 90.00 90.00
Closest atoms and distances in Å follow each position.
Space group Pmmm (No. 47)
Asymmetric unit:
Ba 0.0000 0.0000 0.0000 (multiplicity 1)  2 Se 3.05, 8 P 3.38
P 0.5000 0.5000 0.3240 (multiplicity 2)  1 P 2.15
Se 0.0000 0.0000 0.5000 (multiplicity 1)  8 P 2.95, 2 Ba 3.05

* theoretical density: 5.06 g cm⁻³
* uncorrected formation energy: -20.1 kJ per mole of atoms
* E above lowest polymorph: 0 meV per atom
* spin magnetization: 0.0 μB per formula unit

Material: BaSiP2
Method: DFT, GGA-PBEsol
State: relaxed

abc: 7.0688 7.0688 7.6856
angles: 90.00 90.00 90.00
Closest atoms and distances in Å follow each position.
Space group I-42d (No. 122)
Asymmetric unit:
Ba 0.0000 0.0000 0.0000 (multiplicity 4)  8 P 3.21-3.54
Si 0.0000 0.0000 0.5000 (multiplicity 4)  4 P 2.26
P 0.1467 0.2500 0.6250 (multiplicity 8)  2 Si 2.26

* theoretical density: 3.93 g cm⁻³
* uncorrected formation energy: -66.6 kJ per mole of atoms
* spin magnetization: 0.0 μB per formula unit

Material: Ba3Si4P6
Method: DFT, GGA-PBEsol
State: relaxed

abc: 7.5089 7.2272 11.5152
angles: 90.00 99.39 90.00
Closest atoms and distances in Å follow each position.
Space group P2_1/m (No. 11)
Asymmetric unit:
Ba 0.0021 0.2500 0.0091 (multiplicity 2)  8 P 3.26-3.36, 2 Ba 3.62
Ba 0.0924 0.7500 0.3645 (multiplicity 2)  6 P 3.15-3.30
Ba 0.4123 0.2500 0.6471 (multiplicity 2)  6 P 3.24-3.26
Si 0.1734 0.7500 0.7034 (multiplicity 2)  4 P 2.25-2.31
Si 0.3217 0.2500 0.2961 (multiplicity 2)  4 P 2.25-2.31
Si 0.4768 0.5768 0.9083 (multiplicity 4)  2 P 2.25, 2 Si 2.36-2.50
P 0.1043 0.2500 0.4141 (multiplicity 2)  2 Si 2.29
P 0.1998 0.0037 0.8177 (multiplicity 4)  2 Si 2.25
P 0.2910 0.5035 0.1818 (multiplicity 4)  2 Si 2.25
P 0.3976 0.7500 0.5876 (multiplicity 2)  2 Si 2.31

* theoretical density: 3.83 g cm⁻³
* uncorrected formation energy: -64.7 kJ per mole of atoms
* spin magnetization: 0.0 μB per formula unit

Material: BaSiP2
Method: DFT, GGA-PBEsol
State: relaxed

abc: 3.6517 3.6517 6.2859
angles: 90.00 90.00 90.00
Closest atoms and distances in Å follow each position.
Space group P4/mmm (No. 123)
Asymmetric unit:
Ba 0.0000 0.0000 0.0000 (multiplicity 1)  2 Si 3.14, 8 P 3.30
Si 0.0000 0.0000 0.5000 (multiplicity 1)  8 P 2.80
P 0.5000 0.5000 0.3275 (multiplicity 2)  1 P 2.17

* theoretical density: 4.50 g cm⁻³
* uncorrected formation energy: -18.1 kJ per mole of atoms
* spin magnetization: 0.0 μB per formula unit

Material: BaSiP2
Method: DFT, GGA-PBEsol
State: relaxed

abc: 4.1507 4.1867 5.2797
angles: 90.00 92.11 90.00
Closest atoms and distances in Å follow each position.
Space group Pm (No. 6)
Asymmetric unit:
Ba 0.0000 0.0000 0.0000 (multiplicity 1)  8 P 3.26-3.58, 4 Si 3.30-3.38
Si 0.4696 0.5000 0.7021 (multiplicity 1)  4 P 2.37-2.41
P 0.5369 0.0000 0.4848 (multiplicity 1)  2 Si 2.41
P 0.9607 0.5000 0.4812 (multiplicity 1)  2 Si 2.37-2.39

* theoretical density: 4.12 g cm⁻³
* uncorrected formation energy: -35.4 kJ per mole of atoms
* spin magnetization: 0.0 μB per formula unit

Material: BaSiP3
Method: DFT, GGA-PBEsol
State: relaxed

abc: 5.3942 5.3942 5.3942
angles: 90.00 90.00 90.00
Closest atoms and distances in Å follow each position.
Space group Pm-3m (No. 221)
Asymmetric unit:
Ba 0.0000 0.0000 0.0000 (multiplicity 1)  6 P 2.70
Si 0.5000 0.5000 0.5000 (multiplicity 1)  12 P 3.81
P 0.0000 0.0000 0.5000 (multiplicity 3)  2 Ba 2.70

* theoretical density: 2.73 g cm⁻³
* uncorrected formation energy: 177.5 kJ per mole of atoms
* spin magnetization: 0.0 μB per formula unit

Material: Ba2SiP
Method: DFT, GGA-PBEsol
State: relaxed

abc: 3.6623 3.6623 8.7516
angles: 90.00 90.00 90.00
Closest atoms and distances in Å follow each position.
Space group P4/mmm (No. 123)
Asymmetric unit:
Ba 0.0000 0.0000 0.2333 (multiplicity 2)  4 P 3.30, 4 Si 3.49, 4 Ba 3.66
Si 0.5000 0.5000 0.5000 (multiplicity 1)  8 Ba 3.49, 4 Si 3.66
P 0.5000 0.5000 0.0000 (multiplicity 1)  8 Ba 3.30, 4 P 3.66

* theoretical density: 4.72 g cm⁻³
* uncorrected formation energy: -34.6 kJ per mole of atoms
* E above lowest polymorph: 294 meV per atom
* spin magnetization: 0.0 μB per formula unit

Material: Ba2SiP
Method: DFT, GGA-PBEsol
State: relaxed

abc: 11.5507 4.2851 5.0727
angles: 90.00 99.74 90.00
Closest atoms and distances in Å follow each position.
Space group Cm (No. 8)
Asymmetric unit:
Ba 0.0000 0.0000 0.0000 (multiplicity 2)  4 Si 3.28-3.48, 3 P 3.31-3.37, 1 Ba 3.42
Ba 0.2367 0.5000 0.5734 (multiplicity 2)  4 P 3.27-3.48, 3 Si 3.30-3.37, 1 Ba 3.42
Si 0.4468 0.0000 0.4533 (multiplicity 2)  1 P 2.25
P 0.2907 0.0000 0.1220 (multiplicity 2)  1 Si 2.25

* theoretical density: 4.48 g cm⁻³
* uncorrected formation energy: -62.9 kJ per mole of atoms
* E above lowest polymorph: 0 meV per atom
* spin magnetization: 0.0 μB per formula unit

Material: Ba2SiP
Method: DFT, GGA-PBEsol
State: relaxed

abc: 7.6424 7.6424 7.6424
angles: 90.00 90.00 90.00
Closest atoms and distances in Å follow each position.
Space group F-43m (No. 216)
Asymmetric unit:
Ba 0.0000 0.0000 0.0000 (multiplicity 4)  4 Ba 3.31, 4 P 3.31
Ba 0.2500 0.2500 0.2500 (multiplicity 4)  4 Ba 3.31, 4 Si 3.31
Si 0.0000 0.0000 0.5000 (multiplicity 4)  4 Ba 3.31, 4 P 3.31
P 0.2500 0.2500 0.7500 (multiplicity 4)  4 Ba 3.31, 4 Si 3.31

* theoretical density: 4.97 g cm⁻³
* uncorrected formation energy: 7.3 kJ per mole of atoms
* E above lowest polymorph: 728 meV per atom
* spin magnetization: 0.0 μB per formula unit